1.
The following is a GGA-PBEsol calculation of an optimized crystal structure of CdRuO2, from Alexandria via LeMat-Bulk.

The structure in CIF format:
```
data_CdRuO2
_chemical_formula_sum 'Cd3 Ru3 O6'
_space_group_name_H-M_alt 'R -3 m'
_space_group_IT_number 166
_space_group_name_Hall '-R 3 2"'
_cell_length_a 2.9512
_cell_length_b 2.9512
_cell_length_c 21.4070
_cell_angle_alpha 90.00
_cell_angle_beta 90.00
_cell_angle_gamma 120.00
loop_
_atom_site_label
_atom_site_type_symbol
_atom_site_fract_x
_atom_site_fract_y
_atom_site_fract_z
_atom_site_occupancy
Cd1 Cd 0.0000 0.0000 0.0000 1
Ru1 Ru 0.0000 0.0000 0.5000 1
O1 O 0.0000 0.0000 0.1153 1
```

## Properties
- Density: 7.573 g/cm3
- Formation energy without anion corrections: -675 meV per atom
- Magnetic moment: 0.369 μB per atom


2.
The following is a GGA-PBEsol calculation of an optimized crystal structure of CdSO4, from Alexandria via LeMat-Bulk.

The structure in CIF format:
```
data_CdSO4
_chemical_formula_sum 'Cd4 S4 O16'
_space_group_name_H-M_alt 'C m c m'
_space_group_IT_number 63
_space_group_name_Hall '-C 2c 2'
_cell_length_a 5.3348
_cell_length_b 8.2714
_cell_length_c 7.1622
_cell_angle_alpha 90.00
_cell_angle_beta 90.00
_cell_angle_gamma 90.00
loop_
_atom_site_label
_atom_site_type_symbol
_atom_site_fract_x
_atom_site_fract_y
_atom_site_fract_z
_atom_site_occupancy
Cd1 Cd 0.0000 0.0000 0.0000 1
S1 S 0.0000 0.3573 0.2500 1
O1 O 0.0000 0.2625 0.0771 1
O2 O 0.2286 0.4647 0.2500 1
```

## Properties
- Density: 4.381 g/cm3
- Formation energy without anion corrections: -1393 meV per atom
- Magnetic moment: 0.000 μB per atom


3.
The following is a GGA-PBEsol calculation of an optimized crystal structure of CdSO2, from Alexandria via LeMat-Bulk.

The structure in CIF format:
```
data_CdSO2
_chemical_formula_sum 'Cd3 S3 O6'
_space_group_name_H-M_alt 'R -3 m'
_space_group_IT_number 166
_space_group_name_Hall '-R 3 2"'
_cell_length_a 3.0167
_cell_length_b 3.0167
_cell_length_c 21.4062
_cell_angle_alpha 90.00
_cell_angle_beta 90.00
_cell_angle_gamma 120.00
loop_
_atom_site_label
_atom_site_type_symbol
_atom_site_fract_x
_atom_site_fract_y
_atom_site_fract_z
_atom_site_occupancy
Cd1 Cd 0.0000 0.0000 0.0000 1
S1 S 0.0000 0.0000 0.5000 1
O1 O 0.0000 0.0000 0.1196 1
```

## Properties
- Density: 5.211 g/cm3
- Formation energy without anion corrections: -36 meV per atom
- Magnetic moment: 0.000 μB per atom


- Among the records above, which one has the highest formation energy without anion corrections?
  CdSO2